# 1
## Tl2TeRhO4 (PBE-GGA)

Data for crystalline Tl2TeRhO4 at its relaxed geometry.

abc: 6.7305 6.7305 6.7108
angles: 111.23 111.23 87.68
With the nearest neighbours (Å) after each atom.
Positions (direct):
1 Tl 0.0000 0.0000 0.0000  4 O 2.71-3.00
2 Tl 0.0000 0.0000 0.5000  4 O 2.71-3.00
3 Tl 0.0000 0.5000 0.0000  6 O 2.66-2.77
4 Tl 0.5000 0.0000 0.5000  6 O 2.66-2.77
5 Te 0.0000 0.5000 0.5000  4 O 2.19-2.28
6 Te 0.5000 0.0000 0.0000  4 O 2.19-2.28
7 Rh 0.5000 0.5000 0.0000  6 O 2.03-2.18
8 Rh 0.5000 0.5000 0.5000  6 O 2.03-2.18
9 O 0.2395 0.6655 0.4468  1 Rh 2.03, 1 Te 2.19
10 O 0.3184 0.3748 0.6483  2 Rh 2.08-2.18, 1 Te 2.28
11 O 0.3345 0.7605 0.0532  1 Rh 2.03, 1 Te 2.19
12 O 0.3748 0.3184 0.1483  2 Rh 2.08-2.18, 1 Te 2.28
13 O 0.6252 0.6816 0.8517  2 Rh 2.08-2.18, 1 Te 2.28
14 O 0.6655 0.2395 0.9468  1 Rh 2.03, 1 Te 2.19
15 O 0.6816 0.6252 0.3517  2 Rh 2.08-2.18, 1 Te 2.28
16 O 0.7605 0.3345 0.5532  1 Rh 2.03, 1 Te 2.19

Computed properties:
The total magnetization comes out at 0.0000 μB/atom. The calculated volume comes out at 262.68 Å³/cell. The crystal system is monoclinic. As for the uncorrected energy: -4.90 eV per atom.


# 2
## CaFe4Br (PBE-GGA)

Data for crystalline CaFe4Br at its relaxed geometry.

abc: 5.2182 5.2182 5.2182
angles: 60.00 60.00 60.00
With the nearest neighbours (Å) after each atom.
Positions (direct):
1 Ca 0.0000 0.0000 0.0000  12 Fe 3.05, 4 Br 3.20
2 Fe 0.1152 0.6283 0.6283  6 Fe 2.54-2.68
3 Fe 0.6283 0.1152 0.6283  6 Fe 2.54-2.68
4 Fe 0.6283 0.6283 0.1152  6 Fe 2.54-2.68
5 Fe 0.6283 0.6283 0.6283  6 Fe 2.54-2.68
6 Br 0.2500 0.2500 0.2500  12 Fe 3.07, 4 Ca 3.20

Computed properties:
The total magnetization comes out at 1.8147 μB/atom. The calculated volume comes out at 100.47 Å³/cell. The crystal system is cubic. As for the uncorrected energy: -5.86 eV per atom.


# 3
## Hf6NbCo (PBE-GGA)

Data for crystalline Hf6NbCo at its relaxed geometry.

abc: 5.5850 5.5877 5.7302
angles: 96.98 97.09 112.71
With the nearest neighbours (Å) after each atom.
Positions (direct):
1 Hf 0.1321 0.1756 0.2316  1 Co 2.64, 1 Hf 2.93
2 Hf 0.2548 0.7549 0.4660  1 Co 2.79, 5 Hf 2.97-3.10, 1 Nb 3.10
3 Hf 0.3246 0.3674 0.7686  1 Co 2.64, 1 Hf 2.93
4 Hf 0.6754 0.6326 0.2314  1 Co 2.64, 1 Hf 2.93
5 Hf 0.7452 0.2451 0.5340  1 Co 2.79, 5 Hf 2.97-3.10, 1 Nb 3.10
6 Hf 0.8679 0.8244 0.7684  1 Co 2.64, 1 Hf 2.93
7 Nb 0.5000 0.0000 0.0000  8 Hf 2.97-3.32, 2 Co 3.10
8 Co 0.0000 0.5000 0.0000  6 Hf 2.64-2.79

Computed properties:
The total magnetization comes out at 0.0002 μB/atom. The calculated volume comes out at 160.88 Å³/cell. The crystal system is triclinic. As for the uncorrected energy: -9.59 eV per atom.


# 4
## BaSO (PBE-GGA)

Data for crystalline BaSO at its relaxed geometry.

abc: 8.8725 4.1971 8.1529
angles: 90.00 113.36 90.00
With the nearest neighbours (Å) after each atom.
Positions (direct):
1 Ba 0.0594 0.0000 0.2877  3 O 2.76-2.87
2 Ba 0.4406 0.5000 0.7123  3 O 2.76-2.87
3 Ba 0.5594 0.5000 0.2877  3 O 2.76-2.87
4 Ba 0.9406 0.0000 0.7123  3 O 2.76-2.87
5 S 0.1248 0.5000 0.0179  1 S 2.12
6 S 0.3752 0.0000 0.9821  1 S 2.12
7 S 0.6248 0.0000 0.0179  1 S 2.12
8 S 0.8752 0.5000 0.9821  1 S 2.12
9 O 0.0909 0.5000 0.5195  1 O 1.52
10 O 0.4091 0.0000 0.4805  1 O 1.52
11 O 0.5909 0.0000 0.5195  1 O 1.52
12 O 0.9091 0.5000 0.4805  1 O 1.52

Computed properties:
The total magnetization comes out at 0.0000 μB/atom. The calculated volume comes out at 278.72 Å³/cell. The crystal system is monoclinic. As for the uncorrected energy: -5.20 eV per atom.